First-principles (PBE) data for a relaxed structure of MnMo2P, as listed in Alexandria via LeMat-Bulk.

Cell: 4.292 4.292 2.979 Å, 90.00 90.00 90.07°
Each line ends with the local moment (μB).
Fractional positions:
Mn1 0.000 0.500 0.500  2.33
Mo1 0.000 0.000 0.000  -0.25
Mo2 0.500 0.500 0.000  -0.25
P1 0.500 0.000 0.500  0.05

Properties
Energy relative to the elements: -0.08 eV/atom
Calculated total energy: -9.138 eV/atom
Space group: Cmmm